# ZrZn2Ir PBE optimized geometry
data_ZrZn2Ir
_chemical_formula_sum 'Zr2 Zn4 Ir2'
_space_group_name_H-M_alt 'C 1 2/m 1'
_space_group_IT_number 12
_cell_length_a 5.3672
_cell_length_b 9.2513
_cell_length_c 2.8815
_cell_angle_alpha 90.00
_cell_angle_beta 111.52
_cell_angle_gamma 90.00
loop_
_space_group_symop_operation_xyz
'x,y,z'
'-x,-y,-z'
'-x,y,-z'
'x,-y,z'
'x+1/2,y+1/2,z'
'-x+1/2,-y+1/2,-z'
'-x+1/2,y+1/2,-z'
'x+1/2,-y+1/2,z'
loop_
_atom_site_label
_atom_site_type_symbol
_atom_site_fract_x
_atom_site_fract_y
_atom_site_fract_z
Zr1 Zr 0.0000 0.0000 0.0000
Zn1 Zn 0.2500 0.2500 0.5000
Ir1 Ir 0.0000 0.5000 0.0000
# magnetization = 0.0 μB/cell
# ΔE_f = -0.134 eV/atom
# mass density = 10.34 g/cm³

***

# CrTc2Ag PBE optimized geometry
data_CrTc2Ag
_chemical_formula_sum 'Cr1 Tc2 Ag1'
_space_group_name_H-M_alt 'P m m m'
_space_group_IT_number 47
_cell_length_a 2.7582
_cell_length_b 3.7731
_cell_length_c 5.6886
_cell_angle_alpha 90.00
_cell_angle_beta 90.00
_cell_angle_gamma 90.00
loop_
_space_group_symop_operation_xyz
'x,y,z'
'-x,-y,-z'
'-x,-y,z'
'x,y,-z'
'x,-y,-z'
'-x,y,z'
'-x,y,-z'
'x,-y,z'
loop_
_atom_site_label
_atom_site_type_symbol
_atom_site_fract_x
_atom_site_fract_y
_atom_site_fract_z
Cr1 Cr 0.0000 0.0000 0.0000
Tc1 Tc 0.5000 0.5000 0.2109
Ag1 Ag 0.0000 0.0000 0.5000
# magnetization = 0.4 μB/cell
# ΔE_f = 0.386 eV/atom
# mass density = 9.98 g/cm³
# relative energy among the computed polymorphs = 0.082 eV/atom

***

Please write out number 1 again, unchanged.
# ZrZn2Ir PBE optimized geometry
data_ZrZn2Ir
_chemical_formula_sum 'Zr2 Zn4 Ir2'
_space_group_name_H-M_alt 'C 1 2/m 1'
_space_group_IT_number 12
_cell_length_a 5.3672
_cell_length_b 9.2513
_cell_length_c 2.8815
_cell_angle_alpha 90.00
_cell_angle_beta 111.52
_cell_angle_gamma 90.00
loop_
_space_group_symop_operation_xyz
'x,y,z'
'-x,-y,-z'
'-x,y,-z'
'x,-y,z'
'x+1/2,y+1/2,z'
'-x+1/2,-y+1/2,-z'
'-x+1/2,y+1/2,-z'
'x+1/2,-y+1/2,z'
loop_
_atom_site_label
_atom_site_type_symbol
_atom_site_fract_x
_atom_site_fract_y
_atom_site_fract_z
Zr1 Zr 0.0000 0.0000 0.0000
Zn1 Zn 0.2500 0.2500 0.5000
Ir1 Ir 0.0000 0.5000 0.0000
# magnetization = 0.0 μB/cell
# ΔE_f = -0.134 eV/atom
# mass density = 10.34 g/cm³

***

- Which formula does entry 2 have?
  CrTc2Ag

***

- The lowest ΔE_f belongs to which entry?
  ZrZn2Ir